Record 1
Computed, not measured: a relaxed structure of Eu2TeCl at the PBE level of DFT.

Unit cell a=4.515 b=4.515 c=7.476 alpha=72.42 beta=72.42 gamma=60.00
Each line ends with the local moment (μB).
Atoms (fractional coordinates):
Eu  0.256  0.256  0.233  6.95
Te  0.500  0.500  0.500  -0.05
Eu  0.744  0.744  0.767  6.95
Cl  0.000  0.000  0.000  -0.02

- Energy: -8.028 eV per atom

***

Record 2
Computed, not measured: a relaxed structure of EuTlCl2 at the PBE level of DFT.

Unit cell a=4.146 b=4.146 c=10.295 alpha=78.38 beta=78.38 gamma=60.00
Each line ends with the local moment (μB).
Atoms (fractional coordinates):
Eu  0.500  0.500  0.500  6.94
Cl  0.885  0.885  0.344  -0.03
Cl  0.115  0.115  0.656  -0.03
Tl  0.000  0.000  0.000  0.00

- Energy: -5.653 eV per atom

***

Record 3
Computed, not measured: a relaxed structure of Eu2TlCl at the PBE level of DFT.

Unit cell a=3.659 b=3.659 c=8.683 alpha=90.00 beta=90.00 gamma=90.00
Each line ends with the local moment (μB).
Atoms (fractional coordinates):
Cl  0.500  0.500  0.000  -0.02
Eu  0.000  0.000  0.245  6.96
Tl  0.500  0.500  0.500  -0.03
Eu  0.000  0.000  0.755  6.96

- Energy: -7.142 eV per atom

***

Record 4
Computed, not measured: a relaxed structure of Eu12Tl3Cl5 at the PBE level of DFT.

Unit cell a=15.658 b=15.658 c=15.658 alpha=109.47 beta=109.47 gamma=109.47
Each line ends with the local moment (μB).
Atoms (fractional coordinates):
Cl  0.000  0.000  0.500  -0.03
Cl  0.500  0.000  0.000  -0.03
Eu  0.677  0.219  0.592  6.95
Eu  0.719  0.127  0.043  6.95
Tl  0.250  0.125  0.375  -0.08
Eu  0.373  0.415  0.092  6.95
Eu  0.415  0.043  0.323  6.95
Eu  0.219  0.543  0.627  6.95
Tl  0.375  0.750  0.625  -0.08
Eu  0.585  0.957  0.677  6.95
Eu  0.408  0.281  0.323  6.95
Eu  0.592  0.873  0.415  6.95
Eu  0.281  0.873  0.957  6.95
Cl  0.000  0.500  0.000  -0.03
Eu  0.677  0.457  0.585  6.95
Tl  0.875  0.125  0.250  -0.08
Cl  0.250  0.875  0.125  -0.02
Eu  0.627  0.043  0.219  6.95
Cl  0.625  0.750  0.875  -0.02
Eu  0.781  0.323  0.908  6.95
Cl  0.500  0.500  0.500  -0.03
Eu  0.323  0.543  0.415  6.95
Eu  0.915  0.092  0.873  6.95
Cl  0.125  0.375  0.250  -0.02
Eu  0.085  0.908  0.127  6.95
Cl  0.500  0.000  0.500  -0.03
Cl  0.625  0.875  0.250  -0.02
Eu  0.719  0.592  0.177  6.95
Eu  0.823  0.915  0.043  6.95
Tl  0.875  0.750  0.125  -0.08
Tl  0.625  0.375  0.750  -0.08
Eu  0.127  0.719  0.543  6.95
Eu  0.957  0.585  0.177  6.95
Eu  0.043  0.627  0.719  6.95
Eu  0.908  0.085  0.627  6.95
Tl  0.750  0.375  0.125  -0.08
Eu  0.915  0.823  0.543  6.95
Eu  0.177  0.092  0.719  6.95
Cl  0.750  0.625  0.375  -0.02
Tl  0.125  0.875  0.750  -0.08
Cl  0.875  0.250  0.625  -0.02
Eu  0.627  0.585  0.908  6.95
Cl  0.000  0.000  0.000  -0.03
Eu  0.585  0.627  0.408  6.95
Cl  0.375  0.250  0.125  -0.02
Eu  0.415  0.373  0.592  6.95
Eu  0.457  0.677  0.085  6.95
Cl  0.875  0.625  0.750  -0.02
Cl  0.000  0.500  0.500  -0.03
Eu  0.823  0.908  0.281  6.95
Cl  0.250  0.375  0.625  -0.02
Cl  0.500  0.500  0.000  -0.03
Eu  0.092  0.177  0.219  6.95
Eu  0.085  0.177  0.457  6.95
Eu  0.543  0.219  0.127  6.95
Eu  0.043  0.415  0.823  6.95
Eu  0.873  0.281  0.457  6.95
Eu  0.373  0.957  0.781  6.95
Eu  0.219  0.677  0.092  6.95
Eu  0.957  0.373  0.281  6.95
Eu  0.781  0.457  0.373  6.95
Eu  0.543  0.323  0.915  6.95
Eu  0.323  0.781  0.408  6.95
Eu  0.127  0.408  0.085  6.95
Tl  0.625  0.250  0.375  -0.08
Cl  0.375  0.125  0.750  -0.02
Cl  0.125  0.750  0.375  -0.02
Eu  0.592  0.719  0.677  6.95
Tl  0.375  0.625  0.250  -0.08
Eu  0.908  0.823  0.781  6.95
Eu  0.873  0.592  0.915  6.95
Tl  0.125  0.250  0.875  -0.08
Tl  0.750  0.875  0.625  -0.08
Eu  0.457  0.781  0.873  6.95
Cl  0.750  0.125  0.875  -0.02
Eu  0.408  0.127  0.585  6.95
Eu  0.177  0.085  0.957  6.95
Eu  0.281  0.408  0.823  6.95
Tl  0.250  0.625  0.875  -0.08
Eu  0.092  0.915  0.373  6.95

- Energy: -7.867 eV per atom

***

Record 5
Computed, not measured: a relaxed structure of Eu2TlCl at the PBE level of DFT.

Unit cell a=4.159 b=4.159 c=8.707 alpha=76.18 beta=76.18 gamma=60.00
Each line ends with the local moment (μB).
Atoms (fractional coordinates):
Cl  0.000  0.000  0.000  -0.04
Tl  0.500  0.500  0.500  0.00
Eu  0.258  0.258  0.227  6.94
Eu  0.742  0.742  0.773  6.94

- Energy: -7.194 eV per atom

***

Record 6
Computed, not measured: a relaxed structure of Eu3Tl5Cl12 at the PBE level of DFT.

Unit cell a=15.305 b=15.305 c=15.305 alpha=109.47 beta=109.47 gamma=109.47
Each line ends with the local moment (μB).
Atoms (fractional coordinates):
Eu  0.125  0.250  0.875  6.67
Cl  0.829  0.939  0.069  -0.02
Cl  0.061  0.890  0.131  -0.02
Tl  0.625  0.750  0.875  0.00
Cl  0.569  0.329  0.939  -0.02
Cl  0.369  0.931  0.759  -0.02
Eu  0.375  0.625  0.250  6.67
Tl  0.750  0.625  0.375  0.00
Eu  0.250  0.625  0.875  6.67
Cl  0.890  0.061  0.631  -0.02
Cl  0.931  0.561  0.171  -0.02
Eu  0.250  0.125  0.375  6.67
Tl  0.875  0.625  0.750  0.00
Eu  0.625  0.250  0.375  6.67
Cl  0.390  0.131  0.561  -0.02
Cl  0.671  0.241  0.610  -0.02
Tl  0.000  0.000  0.500  -0.01
Tl  0.000  0.500  0.000  -0.01
Cl  0.439  0.069  0.329  -0.02
Eu  0.875  0.750  0.125  6.67
Tl  0.000  0.500  0.500  -0.01
Cl  0.329  0.569  0.439  -0.02
Cl  0.561  0.631  0.390  -0.02
Cl  0.931  0.369  0.259  -0.02
Tl  0.875  0.250  0.625  0.00
Tl  0.625  0.875  0.250  0.00
Cl  0.561  0.931  0.671  -0.02
Cl  0.869  0.610  0.939  -0.02
Cl  0.131  0.741  0.569  -0.02
Cl  0.431  0.759  0.869  -0.02
Cl  0.259  0.869  0.931  -0.02
Tl  0.250  0.375  0.625  0.00
Cl  0.869  0.259  0.431  -0.02
Eu  0.750  0.875  0.625  6.67
Eu  0.375  0.750  0.625  6.67
Cl  0.671  0.431  0.561  -0.02
Cl  0.631  0.069  0.241  -0.02
Cl  0.369  0.439  0.110  -0.02
Cl  0.329  0.759  0.390  -0.02
Cl  0.610  0.741  0.671  -0.02
Cl  0.171  0.110  0.741  -0.02
Cl  0.131  0.390  0.061  -0.02
Tl  0.500  0.500  0.500  -0.01
Cl  0.110  0.939  0.369  -0.02
Cl  0.829  0.890  0.259  -0.02
Cl  0.610  0.869  0.439  -0.02
Tl  0.125  0.750  0.375  0.00
Cl  0.741  0.131  0.069  -0.02
Eu  0.625  0.375  0.750  6.67
Eu  0.875  0.125  0.250  6.67
Eu  0.125  0.875  0.750  6.67
Tl  0.375  0.250  0.125  0.00
Cl  0.171  0.061  0.931  -0.02
Tl  0.250  0.875  0.125  0.00
Tl  0.375  0.125  0.750  0.00
Tl  0.125  0.375  0.250  0.00
Cl  0.069  0.439  0.829  -0.02
Cl  0.259  0.390  0.829  -0.02
Cl  0.431  0.671  0.061  -0.02
Cl  0.061  0.171  0.431  -0.02
Cl  0.241  0.671  0.110  -0.02
Cl  0.569  0.241  0.131  -0.02
Tl  0.500  0.500  0.000  -0.01
Cl  0.390  0.259  0.329  -0.02
Cl  0.741  0.610  0.171  -0.02
Cl  0.759  0.329  0.890  -0.02
Tl  0.750  0.125  0.875  0.00
Cl  0.631  0.561  0.890  -0.02
Cl  0.890  0.829  0.759  -0.02
Cl  0.439  0.369  0.610  -0.02
Cl  0.939  0.110  0.869  -0.02
Eu  0.750  0.375  0.125  6.67
Cl  0.939  0.829  0.569  -0.02
Cl  0.069  0.631  0.741  -0.02
Cl  0.241  0.569  0.631  -0.02
Tl  0.500  0.000  0.000  -0.01
Cl  0.110  0.171  0.241  -0.02
Tl  0.000  0.000  0.000  -0.01
Tl  0.500  0.000  0.500  -0.01
Cl  0.759  0.431  0.369  -0.02

- Energy: -4.735 eV per atom

***

Record 7
Computed, not measured: a relaxed structure of Cl3F at the PBE level of DFT.

Unit cell a=4.744 b=4.744 c=8.654 alpha=74.09 beta=74.09 gamma=90.00
Each line ends with the local moment (μB).
Atoms (fractional coordinates):
Cl  0.671  0.125  0.250  0.23
Cl  0.375  0.329  0.750  0.24
Cl  0.875  0.921  0.750  0.24
Cl  0.079  0.625  0.250  0.23
Cl  0.000  0.000  0.000  0.03
F  0.500  0.500  0.000  0.45
Cl  0.750  0.250  0.500  0.03
F  0.250  0.750  0.500  0.43

- Energy: -1.323 eV per atom

***

Record 8
Computed, not measured: a relaxed structure of Cl3F at the PBE level of DFT.

Unit cell a=4.336 b=8.978 c=6.103 alpha=137.35 beta=110.81 gamma=90.00
Atoms (fractional coordinates):
Cl  0.500  0.538  0.000
F  0.000  0.288  0.000
Cl  0.752  0.922  0.505
Cl  0.248  0.418  0.495

- Energy: -2.025 eV per atom

***

Record-wise uncorrected formation energy values, in kJ per mole of atoms: -159 -151 -92 -85 -97 -144 51 -17